# 1
DFT (GGA-PBE) results for crystalline Y2MgPb at its relaxed geometry.

Summary:
Total DFT energy (no corrections) in eV per cell: -36.425
Symmetry: I-42d, No. 122

a = 8.4382 Å, b = 8.4382 Å, c = 6.8794 Å
α = 52.17°, β = 52.17°, γ = 90.00°
Sites, in units of the cell vectors:
Pb 0.0000 0.0000 0.0000
Pb 0.7500 0.2500 0.5000
Y 0.6331 0.1250 0.2500
Y 0.1169 0.6250 0.2500
Y 0.3750 0.3669 0.7500
Y 0.8750 0.8831 0.7500
Mg 0.5000 0.5000 0.0000
Mg 0.2500 0.7500 0.5000

# 2
DFT (GGA-PBE) results for crystalline YMg3Pb6 at its relaxed geometry.

Summary:
Total DFT energy (no corrections) in eV per cell: -68.387
Symmetry: P2_1/c, No. 14

a = 4.8563 Å, b = 9.6337 Å, c = 12.5043 Å
α = 90.00°, β = 96.71°, γ = 90.00°
Sites, in units of the cell vectors:
Y 0.5000 0.5000 0.5000
Y 0.0000 0.0000 0.0000
Mg 0.4572 0.8268 0.8378
Mg 0.5000 0.5000 0.0000
Mg 0.5428 0.1732 0.1622
Mg 0.9572 0.6732 0.3378
Mg 0.0000 0.0000 0.5000
Mg 0.0428 0.3268 0.6622
Pb 0.4492 0.1882 0.8790
Pb 0.5102 0.1719 0.5613
Pb 0.4266 0.5069 0.2417
Pb 0.5734 0.4931 0.7583
Pb 0.4898 0.8281 0.4387
Pb 0.5508 0.8118 0.1210
Pb 0.9492 0.3118 0.3790
Pb 0.0102 0.3281 0.0613
Pb 0.9266 0.9931 0.7417
Pb 0.0734 0.0069 0.2583
Pb 0.9898 0.6719 0.9387
Pb 0.0508 0.6882 0.6210

# 3
DFT (GGA-PBE) results for crystalline YMg2Pb2 at its relaxed geometry.

Summary:
Total DFT energy (no corrections) in eV per cell: -17.827
Symmetry: I4/mmm, No. 139

a = 4.4224 Å, b = 4.4224 Å, c = 7.6594 Å
α = 73.22°, β = 73.22°, γ = 90.00°
Sites, in units of the cell vectors:
Pb 0.3918 0.3918 0.2164
Pb 0.6082 0.6082 0.7836
Y 0.0000 0.0000 0.0000
Mg 0.7500 0.2500 0.5000
Mg 0.2500 0.7500 0.5000

# 4
DFT (GGA-PBE) results for crystalline YMgPb at its relaxed geometry.

Summary:
Total DFT energy (no corrections) in eV per cell: -12.002
Symmetry: P3m1, No. 156

a = 3.5182 Å, b = 3.5182 Å, c = 7.9804 Å
α = 90.00°, β = 90.00°, γ = 120.00°
Sites, in units of the cell vectors:
Mg 0.0000 0.0000 0.0107
Pb 0.6667 0.3333 0.3251
Y 0.3333 0.6667 0.6642

# 5
DFT (GGA-PBE) results for crystalline YMg3Pb6 at its relaxed geometry.

Summary:
Total DFT energy (no corrections) in eV per cell: -69.233
Symmetry: P2_1/m, No. 11

a = 4.8283 Å, b = 10.2275 Å, c = 11.2832 Å
α = 95.43°, β = 90.00°, γ = 90.00°
Sites, in units of the cell vectors:
Y 0.2500 0.9390 0.6122
Y 0.7500 0.0610 0.3878
Mg 0.2500 0.5556 0.4006
Mg 0.7500 0.4444 0.5994
Mg 0.2500 0.3445 0.8029
Mg 0.7500 0.6555 0.1971
Mg 0.2500 0.7512 0.9960
Mg 0.7500 0.2488 0.0040
Pb 0.2500 0.4565 0.0955
Pb 0.7500 0.5435 0.9045
Pb 0.2500 0.1585 0.1982
Pb 0.7500 0.8415 0.8018
Pb 0.2500 0.6254 0.6972
Pb 0.7500 0.3746 0.3028
Pb 0.2500 0.2620 0.5060
Pb 0.7500 0.7380 0.4940
Pb 0.2500 0.8386 0.3016
Pb 0.7500 0.1614 0.6984
Pb 0.2500 0.0626 0.9047
Pb 0.7500 0.9374 0.0953

# 6
DFT (GGA-PBE) results for crystalline YMgPb3 at its relaxed geometry.

Summary:
Total DFT energy (no corrections) in eV per cell: -81.534
Symmetry: P2/c, No. 13

a = 6.4055 Å, b = 6.4923 Å, c = 13.4433 Å
α = 90.00°, β = 90.00°, γ = 90.13°
Sites, in units of the cell vectors:
Y 0.4998 0.2493 0.6920
Y 0.5002 0.7507 0.3080
Y 0.9998 0.2493 0.3080
Y 0.0002 0.7507 0.6920
Mg 0.2500 0.5000 0.1178
Mg 0.7500 0.0000 0.8823
Mg 0.7500 0.5000 0.8822
Mg 0.2500 0.0000 0.1177
Pb 0.2500 0.0000 0.4990
Pb 0.7500 0.5000 0.5006
Pb 0.7500 0.0000 0.5010
Pb 0.2500 0.5000 0.4994
Pb 0.1852 0.7499 0.9232
Pb 0.8148 0.2501 0.0768
Pb 0.6852 0.7499 0.0768
Pb 0.3148 0.2501 0.9232
Pb 0.4952 0.7493 0.7246
Pb 0.5048 0.2507 0.2754
Pb 0.9952 0.7493 0.2754
Pb 0.0048 0.2507 0.7246

# 7
DFT (GGA-PBE) results for crystalline Y2MgPb at its relaxed geometry.

Summary:
Total DFT energy (no corrections) in eV per cell: -19.404
Symmetry: Imm2, No. 44

a = 6.3456 Å, b = 6.3456 Å, c = 4.8798 Å
α = 67.38°, β = 67.38°, γ = 38.53°
Sites, in units of the cell vectors:
Mg 0.5200 0.5200 0.4802
Pb 0.2338 0.2338 0.2660
Y 0.9929 0.9929 0.0073
Y 0.7532 0.7532 0.7465

# 8
DFT (GGA-PBE) results for crystalline YMgPb at its relaxed geometry.

Summary:
Total DFT energy (no corrections) in eV per cell: -12.292
Symmetry: F-43m, No. 216

a = 5.0194 Å, b = 5.0194 Å, c = 5.0194 Å
α = 60.00°, β = 60.00°, γ = 60.00°
Sites, in units of the cell vectors:
Mg 0.5000 0.5000 0.5000
Pb 0.2500 0.2500 0.2500
Y 0.0000 0.0000 0.0000

# 9
DFT (GGA-PBE) results for crystalline Y2MgPb at its relaxed geometry.

Summary:
Total DFT energy (no corrections) in eV per cell: -18.957
Symmetry: Pmm2, No. 25

a = 3.6596 Å, b = 4.7368 Å, c = 6.6413 Å
α = 90.00°, β = 90.00°, γ = 90.00°
Sites, in units of the cell vectors:
Mg 0.0000 0.0000 0.4848
Pb 0.5000 0.5000 0.7566
Y 0.0000 0.0000 0.9913
Y 0.5000 0.5000 0.2672

# 10
DFT (GGA-PBE) results for crystalline Y2MgPb2 at its relaxed geometry.

Summary:
Total DFT energy (no corrections) in eV per cell: -21.899
Symmetry: I4/mmm, No. 139

a = 5.9849 Å, b = 5.9849 Å, c = 6.3896 Å
α = 62.07°, β = 62.07°, γ = 90.00°
Sites, in units of the cell vectors:
Pb 0.3306 0.3306 0.3388
Pb 0.6694 0.6694 0.6612
Y 0.7500 0.2500 0.5000
Y 0.2500 0.7500 0.5000
Mg 0.0000 0.0000 0.0000

# 11
DFT (GGA-PBE) results for crystalline Y2MgPb at its relaxed geometry.

Summary:
Total DFT energy (no corrections) in eV per cell: -17.970
Symmetry: F-43m, No. 216

a = 5.4419 Å, b = 5.4419 Å, c = 5.4419 Å
α = 60.00°, β = 60.00°, γ = 60.00°
Sites, in units of the cell vectors:
Mg 0.5000 0.5000 0.5000
Pb 0.7500 0.7500 0.7500
Y 0.0000 0.0000 0.0000
Y 0.2500 0.2500 0.2500

# 12
DFT (GGA-PBE) results for crystalline YMgPb at its relaxed geometry.

Summary:
Total DFT energy (no corrections) in eV per cell: -26.206
Symmetry: I4/mmm, No. 139

a = 4.4580 Å, b = 4.4580 Å, c = 8.6439 Å
α = 104.94°, β = 104.94°, γ = 90.00°
Sites, in units of the cell vectors:
Y 0.6643 0.6643 0.3286
Y 0.3357 0.3357 0.6714
Mg 0.5000 0.0000 0.0000
Mg 0.0000 0.5000 0.0000
Pb 0.1381 0.1381 0.2761
Pb 0.8619 0.8619 0.7239

# 13
DFT (GGA-PBE) results for crystalline YMgPb3 at its relaxed geometry.

Summary:
Total DFT energy (no corrections) in eV per cell: -16.914
Symmetry: Pm-3m, No. 221

a = 5.8979 Å, b = 5.8979 Å, c = 5.8979 Å
α = 90.00°, β = 90.00°, γ = 90.00°
Sites, in units of the cell vectors:
Pb 0.0000 0.5000 0.0000
Pb 0.0000 0.0000 0.5000
Pb 0.5000 0.0000 0.0000
Y 0.0000 0.0000 0.0000
Mg 0.5000 0.5000 0.5000

# 14
DFT (GGA-PBE) results for crystalline YMg2Pb2 at its relaxed geometry.

Summary:
Total DFT energy (no corrections) in eV per cell: -35.697
Symmetry: P4/mbm, No. 127

a = 8.6397 Å, b = 8.6397 Å, c = 3.5896 Å
α = 90.00°, β = 90.00°, γ = 90.00°
Sites, in units of the cell vectors:
Pb 0.3438 0.8438 0.0000
Pb 0.8438 0.6562 0.0000
Pb 0.6562 0.1562 0.0000
Pb 0.1562 0.3438 0.0000
Y 0.0000 0.0000 0.0000
Y 0.5000 0.5000 0.0000
Mg 0.1414 0.6414 0.5000
Mg 0.6414 0.8586 0.5000
Mg 0.8586 0.3586 0.5000
Mg 0.3586 0.1414 0.5000

# 15
DFT (GGA-PBE) results for crystalline YMgPb3 at its relaxed geometry.

Summary:
Total DFT energy (no corrections) in eV per cell: -39.948
Symmetry: P-1, No. 2

a = 3.5151 Å, b = 9.7805 Å, c = 10.7029 Å
α = 106.15°, β = 80.18°, γ = 124.49°
Sites, in units of the cell vectors:
Y 0.1397 0.6535 0.6961
Y 0.8603 0.3465 0.3039
Mg 0.1470 0.3909 0.8659
Mg 0.8530 0.6091 0.1341
Pb 0.1671 0.3073 0.5622
Pb 0.2728 0.2089 0.0387
Pb 0.8009 0.9693 0.2849
Pb 0.8329 0.6927 0.4378
Pb 0.1991 0.0307 0.7151
Pb 0.7272 0.7911 0.9613

# 16
DFT (GGA-PBE) results for crystalline Y2MgPb at its relaxed geometry.

Summary:
Total DFT energy (no corrections) in eV per cell: -18.973
Symmetry: P4mm, No. 99

a = 3.6039 Å, b = 3.6039 Å, c = 8.8496 Å
α = 90.00°, β = 90.00°, γ = 90.00°
Sites, in units of the cell vectors:
Mg 0.0000 0.0000 0.5153
Pb 0.5000 0.5000 0.7273
Y 0.0000 0.0000 0.9883
Y 0.5000 0.5000 0.2691

# 17
DFT (GGA-PBE) results for crystalline Y3MgPb3 at its relaxed geometry.

Summary:
Total DFT energy (no corrections) in eV per cell: -67.810
Symmetry: P6_3/m, No. 176

a = 6.2254 Å, b = 9.3327 Å, c = 9.3327 Å
α = 120.00°, β = 90.00°, γ = 90.00°
Sites, in units of the cell vectors:
Y 0.7500 0.6849 0.6437
Y 0.7500 0.3563 0.0412
Y 0.7500 0.9588 0.3151
Y 0.2500 0.3151 0.3563
Y 0.2500 0.6437 0.9588
Y 0.2500 0.0412 0.6849
Mg 0.2500 0.6667 0.3333
Mg 0.7500 0.3333 0.6667
Pb 0.2500 0.6881 0.6553
Pb 0.2500 0.3447 0.0328
Pb 0.2500 0.9672 0.3119
Pb 0.7500 0.3119 0.3447
Pb 0.7500 0.6553 0.9672
Pb 0.7500 0.0328 0.6881

# 18
DFT (GGA-PBE) results for crystalline Y4Mg3Pb at its relaxed geometry.

Summary:
Total DFT energy (no corrections) in eV per cell: -36.064
Symmetry: P4/mmm, No. 123

a = 3.8473 Å, b = 3.8473 Å, c = 14.9136 Å
α = 90.00°, β = 90.00°, γ = 90.00°
Sites, in units of the cell vectors:
Y 0.0000 0.0000 0.8729
Y 0.0000 0.0000 0.1271
Y 0.0000 0.0000 0.3742
Y 0.0000 0.0000 0.6258
Pb 0.5000 0.5000 0.0000
Mg 0.5000 0.5000 0.2536
Mg 0.5000 0.5000 0.5000
Mg 0.5000 0.5000 0.7464

# 19
DFT (GGA-PBE) results for crystalline Y2MgPb at its relaxed geometry.

Summary:
Total DFT energy (no corrections) in eV per cell: -19.385
Symmetry: Amm2, No. 38

a = 4.8675 Å, b = 3.7239 Å, c = 6.5048 Å
α = 73.36°, β = 90.00°, γ = 90.00°
Sites, in units of the cell vectors:
Mg 0.0000 0.6985 0.4765
Pb 0.5000 0.5547 0.7667
Y 0.0000 0.9593 0.9568
Y 0.5000 0.2875 0.3000

# 20
DFT (GGA-PBE) results for crystalline YMgPb4 at its relaxed geometry.

Summary:
Total DFT energy (no corrections) in eV per cell: -47.154
Symmetry: C2/m, No. 12

a = 5.9523 Å, b = 5.9521 Å, c = 9.7907 Å
α = 90.00°, β = 89.93°, γ = 90.00°
Sites, in units of the cell vectors:
Y 0.0000 0.0000 0.0000
Y 0.5000 0.5000 0.0000
Mg 0.5000 0.0000 0.5000
Mg 0.0000 0.5000 0.5000
Pb 0.9989 0.4997 0.1678
Pb 0.5011 0.9997 0.8322
Pb 0.4980 0.5006 0.3374
Pb 0.0020 0.0006 0.6626
Pb 0.0011 0.5003 0.8322
Pb 0.4989 0.0003 0.1678
Pb 0.5020 0.4994 0.6626
Pb 0.9980 0.9994 0.3374

# 21
DFT (GGA-PBE) results for crystalline YMgPb4 at its relaxed geometry.

Summary:
Total DFT energy (no corrections) in eV per cell: -22.530
Symmetry: F-43m, No. 216

a = 6.4318 Å, b = 6.4318 Å, c = 6.4318 Å
α = 60.00°, β = 60.00°, γ = 60.00°
Sites, in units of the cell vectors:
Y 0.7500 0.7500 0.7500
Mg 0.0000 0.0000 0.0000
Pb 0.3760 0.8719 0.3760
Pb 0.8719 0.3760 0.3760
Pb 0.3760 0.3760 0.8719
Pb 0.3760 0.3760 0.3760

# 22
DFT (GGA-PBE) results for crystalline Y4MgPb at its relaxed geometry.

Summary:
Total DFT energy (no corrections) in eV per cell: -29.839
Symmetry: F-43m, No. 216

a = 6.4276 Å, b = 6.4276 Å, c = 6.4276 Å
α = 60.00°, β = 60.00°, γ = 60.00°
Sites, in units of the cell vectors:
Y 0.8750 0.3750 0.3750
Y 0.3750 0.3750 0.8750
Y 0.3750 0.8750 0.3750
Y 0.3750 0.3750 0.3750
Mg 0.7500 0.7500 0.7500
Pb 0.0000 0.0000 0.0000

# 23
DFT (GGA-PBE) results for crystalline YMg2Pb3 at its relaxed geometry.

Summary:
Total DFT energy (no corrections) in eV per cell: -22.236
Symmetry: Cmmm, No. 65

a = 4.4242 Å, b = 4.8623 Å, c = 7.8264 Å
α = 108.10°, β = 90.00°, γ = 90.00°
Sites, in units of the cell vectors:
Y 0.0000 0.0000 0.0000
Mg 0.0000 0.6696 0.3392
Mg 0.0000 0.3304 0.6608
Pb 0.5000 0.1693 0.3386
Pb 0.5000 0.5000 0.0000
Pb 0.5000 0.8307 0.6614

# 24
DFT (GGA-PBE) results for crystalline YMgPb3 at its relaxed geometry.

Summary:
Total DFT energy (no corrections) in eV per cell: -17.980
Symmetry: Pm-3m, No. 221

a = 5.4430 Å, b = 5.4430 Å, c = 5.4430 Å
α = 90.00°, β = 90.00°, γ = 90.00°
Sites, in units of the cell vectors:
Pb 0.0000 0.5000 0.0000
Pb 0.0000 0.0000 0.5000
Pb 0.5000 0.0000 0.0000
Y 0.5000 0.5000 0.5000
Mg 0.0000 0.0000 0.0000

# 25
DFT (GGA-PBE) results for crystalline YMgPb at its relaxed geometry.

Summary:
Total DFT energy (no corrections) in eV per cell: -11.626
Symmetry: F-43m, No. 216

a = 5.1283 Å, b = 5.1283 Å, c = 5.1283 Å
α = 60.00°, β = 60.00°, γ = 60.00°
Sites, in units of the cell vectors:
Mg 0.0000 0.0000 0.0000
Pb 0.5000 0.5000 0.5000
Y 0.2500 0.2500 0.2500

The calculation returns the following M_tot values, one per record and in order: 0.0; 0.0; 0.0; 0.0; 0.0; 0.0; 0.0; 0.0; 0.1; 0.0; 0.5; 0.0; 0.0; 0.0; 0.0; 0.0; 0.0; 0.0; 0.8; 0.0; 0.0; 0.0; 0.0; 0.0; 0.0 Bohr magnetons per cell.